Record 1
DFT (GGA-PBE) results for a relaxed structure of TaAgN3.

```
TaAgN3
1.0
-3.3897 -1.4743 -1.1943
1.2258 0.1647 -3.6824
1.4482 -3.5902 0.3215
Ag N Ta
1 3 1
Direct
0.0000 0.0000 0.0000
0.5000 0.0000 0.0000
0.0000 0.0000 0.5000
0.0000 0.5000 0.0000
0.5000 0.5000 0.5000
```

Its uncorrected energy is -5.865 eV per atom.

=====

Record 2
DFT (GGA-PBE) results for a relaxed structure of TaAgN3.

```
TaAgN3
1.0
-1.0226 -2.9419 2.6388
2.7422 -2.4910 -1.7144
2.8457 1.3432 2.6002
N Ta Ag
3 1 1
Direct
0.0000 0.0000 0.5000
0.5000 0.0000 0.0000
0.0000 0.5000 0.0000
0.0000 0.0000 0.0000
0.5000 0.5000 0.5000
```

Its uncorrected energy is -7.310 eV per atom.

=====

The magnetization results, record by record, are as follows: 0.000; 2.314 μB per formula unit.